Zr2Al2CuNiIr2, relaxed, DFT GGA-PBE; raw total energy = -57.05 eV for the cell shown; mass density = 9.872 Mg/m³; space-group type = P-4m2, No. 115; M_tot = 0.000 μB per atom
1.0
4.4544 0.0000 0.0000
0.0000 4.4544 0.0000
0.0000 0.0000 6.2996
Zr Al Cu Ni Ir
2 2 1 1 2
Cartesian
0.0000 2.2272 1.5597
2.2272 0.0000 4.7399
0.0000 2.2272 4.7292
2.2272 0.0000 1.5704
0.0000 0.0000 3.1498
2.2272 2.2272 0.0000
0.0000 0.0000 0.0000
2.2272 2.2272 3.1498